one | Pm7SmHo3: optimized geometry, PBE.

Geometry as CIF:
```
data_Pm7SmHo3
_chemical_formula_sum 'Pm7 Sm1 Ho3'
_space_group_name_H-M_alt 'P -1'
_space_group_IT_number 2
_cell_length_a 6.560
_cell_length_b 6.764
_cell_length_c 8.746
_cell_angle_alpha 100.00
_cell_angle_beta 98.80
_cell_angle_gamma 96.03
loop_
_space_group_symop_operation_xyz
'x,y,z'
'-x,-y,-z'
loop_
_atom_site_label
_atom_site_type_symbol
_atom_site_fract_x
_atom_site_fract_y
_atom_site_fract_z
Pm1 Pm 0.000 0.000 0.000
Pm2 Pm 0.057 0.712 0.642
Pm3 Pm 0.216 0.226 0.709
Pm4 Pm 0.485 0.737 0.916
Sm1 Sm 0.000 0.500 0.000
Ho1 Ho 0.315 0.934 0.336
Ho2 Ho 0.500 0.500 0.500
```


two | Pm7SmHo3: optimized geometry, PBE.

Geometry as CIF:
```
data_Pm7SmHo3
_chemical_formula_sum 'Pm7 Sm1 Ho3'
_space_group_name_H-M_alt 'P 3 m 1'
_space_group_IT_number 156
_cell_length_a 7.1843
_cell_length_b 7.1843
_cell_length_c 8.6687
_cell_angle_alpha 90.00
_cell_angle_beta 90.00
_cell_angle_gamma 120.00
loop_
_space_group_symop_operation_xyz
'x,y,z'
'-y,x-y,z'
'-x+y,-x,z'
'-y,-x,z'
'-x+y,y,z'
'x,x-y,z'
loop_
_atom_site_label
_atom_site_type_symbol
_atom_site_fract_x
_atom_site_fract_y
_atom_site_fract_z
Pm1 Pm 0.0000 0.0000 0.0000
Pm2 Pm 0.0014 0.5007 0.0128
Pm3 Pm 0.3319 0.1660 0.6671
Sm1 Sm 0.3333 0.6667 0.6797
Ho1 Ho 0.1668 0.3336 0.3402
```


Q: Which of them is the least stable? A: two.


one | Pm4Sm3Ho4: optimized geometry, PBE.

Geometry as CIF:
```
data_Pm4Sm3Ho4
_chemical_formula_sum 'Pm8 Sm6 Ho8'
_space_group_name_H-M_alt 'I m m m'
_space_group_IT_number 71
_space_group_name_Hall '-I 2 2'
_cell_length_a 3.553
_cell_length_b 11.351
_cell_length_c 18.494
_cell_angle_alpha 90.00
_cell_angle_beta 90.00
_cell_angle_gamma 90.00
loop_
_atom_site_label
_atom_site_type_symbol
_atom_site_fract_x
_atom_site_fract_y
_atom_site_fract_z
Pm1 Pm 0.000 0.000 0.213
Pm2 Pm 0.000 0.213 0.500
Sm1 Sm 0.000 0.000 0.000
Sm2 Sm 0.000 0.500 0.109
Ho1 Ho 0.000 0.251 0.327
```


two | Pm4Sm3Ho4: optimized geometry, PBE.

Geometry as CIF:
```
data_Pm4Sm3Ho4
_chemical_formula_sum 'Pm8 Sm6 Ho8'
_space_group_name_H-M_alt 'A m m 2'
_space_group_IT_number 38
_cell_length_a 10.690
_cell_length_b 5.727
_cell_length_c 12.079
_cell_angle_alpha 90.00
_cell_angle_beta 90.00
_cell_angle_gamma 90.00
loop_
_space_group_symop_operation_xyz
'x,y,z'
'-x,-y,z'
'-x,y,z'
'x,-y,z'
'x,y+1/2,z+1/2'
'-x,-y+1/2,z+1/2'
'-x,y+1/2,z+1/2'
'x,-y+1/2,z+1/2'
loop_
_atom_site_label
_atom_site_type_symbol
_atom_site_fract_x
_atom_site_fract_y
_atom_site_fract_z
Pm1 Pm 0.000 0.000 0.000
Pm2 Pm 0.210 0.000 0.793
Pm3 Pm 0.500 0.000 0.923
Sm1 Sm 0.000 0.000 0.294
Sm2 Sm 0.291 0.000 0.449
Ho1 Ho 0.000 0.000 0.593
Ho2 Ho 0.301 0.000 0.143
Ho3 Ho 0.500 0.000 0.652
```


Q: Which of them is the least stable? A: one.


one | Pm6SmHo3: optimized geometry, PBE.

Geometry as CIF:
```
data_Pm6SmHo3
_chemical_formula_sum 'Pm24 Sm4 Ho12'
_space_group_name_H-M_alt 'C m c 21'
_space_group_IT_number 36
_cell_length_a 11.017
_cell_length_b 19.264
_cell_length_c 6.318
_cell_angle_alpha 90.00
_cell_angle_beta 90.00
_cell_angle_gamma 90.00
loop_
_space_group_symop_operation_xyz
'x,y,z'
'-x,-y,z+1/2'
'-x,y,z'
'x,-y,z+1/2'
'x+1/2,y+1/2,z'
'-x+1/2,-y+1/2,z+1/2'
'-x+1/2,y+1/2,z'
'x+1/2,-y+1/2,z+1/2'
loop_
_atom_site_label
_atom_site_type_symbol
_atom_site_fract_x
_atom_site_fract_y
_atom_site_fract_z
Pm1 Pm 0.000 0.038 0.000
Pm2 Pm 0.000 0.280 0.761
Pm3 Pm 0.168 0.459 0.663
Pm4 Pm 0.236 0.291 0.485
Sm1 Sm 0.000 0.197 0.231
Ho1 Ho 0.000 0.385 0.198
Ho2 Ho 0.172 0.115 0.578
```


two | Pm6SmHo3: optimized geometry, PBE.

Geometry as CIF:
```
data_Pm6SmHo3
_chemical_formula_sum 'Pm24 Sm4 Ho12'
_space_group_name_H-M_alt 'C m c 21'
_space_group_IT_number 36
_cell_length_a 9.797
_cell_length_b 21.337
_cell_length_c 6.446
_cell_angle_alpha 90.00
_cell_angle_beta 90.00
_cell_angle_gamma 90.00
loop_
_space_group_symop_operation_xyz
'x,y,z'
'-x,-y,z+1/2'
'-x,y,z'
'x,-y,z+1/2'
'x+1/2,y+1/2,z'
'-x+1/2,-y+1/2,z+1/2'
'-x+1/2,y+1/2,z'
'x+1/2,-y+1/2,z+1/2'
loop_
_atom_site_label
_atom_site_type_symbol
_atom_site_fract_x
_atom_site_fract_y
_atom_site_fract_z
Pm1 Pm 0.000 0.015 0.000
Pm2 Pm 0.000 0.301 0.009
Pm3 Pm 0.174 0.281 0.481
Pm4 Pm 0.179 0.441 0.233
Sm1 Sm 0.000 0.158 0.797
Ho1 Ho 0.000 0.419 0.712
Ho2 Ho 0.168 0.126 0.320
```


Q: Which of them is the least stable? A: one.


one | Pm2Sm3Ho5: optimized geometry, PBE.

Geometry as CIF:
```
data_Pm2Sm3Ho5
_chemical_formula_sum 'Pm8 Sm12 Ho20'
_space_group_name_H-M_alt 'C 1 2/c 1'
_space_group_IT_number 15
_cell_length_a 10.676
_cell_length_b 16.069
_cell_length_c 9.387
_cell_angle_alpha 90.00
_cell_angle_beta 124.61
_cell_angle_gamma 90.00
loop_
_space_group_symop_operation_xyz
'x,y,z'
'-x,-y,-z'
'-x,y,-z+1/2'
'x,-y,z+1/2'
'x+1/2,y+1/2,z'
'-x+1/2,-y+1/2,-z'
'-x+1/2,y+1/2,-z+1/2'
'x+1/2,-y+1/2,z+1/2'
loop_
_atom_site_label
_atom_site_type_symbol
_atom_site_fract_x
_atom_site_fract_y
_atom_site_fract_z
Pm1 Pm 0.143 0.124 0.048
Sm1 Sm 0.000 0.273 0.750
Sm2 Sm 0.156 0.378 0.548
Ho1 Ho 0.000 0.023 0.250
Ho2 Ho 0.000 0.230 0.250
Ho3 Ho 0.000 0.473 0.750
Ho4 Ho 0.237 0.382 0.226
```


two | Pm2Sm3Ho5: optimized geometry, PBE.

Geometry as CIF:
```
data_Pm2Sm3Ho5
_chemical_formula_sum 'Pm8 Sm12 Ho20'
_space_group_name_H-M_alt 'I b a m'
_space_group_IT_number 72
_space_group_name_Hall '-I 2 2c'
_cell_length_a 9.408
_cell_length_b 13.636
_cell_length_c 10.926
_cell_angle_alpha 90.00
_cell_angle_beta 90.00
_cell_angle_gamma 90.00
loop_
_atom_site_label
_atom_site_type_symbol
_atom_site_fract_x
_atom_site_fract_y
_atom_site_fract_z
Pm1 Pm 0.104 0.124 0.000
Sm1 Sm 0.000 0.000 0.250
Sm2 Sm 0.248 0.128 0.500
Ho1 Ho 0.000 0.251 0.250
Ho2 Ho 0.000 0.500 0.250
Ho3 Ho 0.086 0.377 0.500
```


Q: Which of them is the least stable? A: two.


one | Pm7Sm2Ho2: optimized geometry, PBE.

Geometry as CIF:
```
data_Pm7Sm2Ho2
_chemical_formula_sum 'Pm14 Sm4 Ho4'
_space_group_name_H-M_alt 'I m m 2'
_space_group_IT_number 44
_cell_length_a 5.677
_cell_length_b 16.104
_cell_length_c 8.219
_cell_angle_alpha 90.00
_cell_angle_beta 90.00
_cell_angle_gamma 90.00
loop_
_space_group_symop_operation_xyz
'x,y,z'
'-x,-y,z'
'-x,y,z'
'x,-y,z'
'x+1/2,y+1/2,z+1/2'
'-x+1/2,-y+1/2,z+1/2'
'-x+1/2,y+1/2,z+1/2'
'x+1/2,-y+1/2,z+1/2'
loop_
_atom_site_label
_atom_site_type_symbol
_atom_site_fract_x
_atom_site_fract_y
_atom_site_fract_z
Pm1 Pm 0.000 0.000 0.000
Pm2 Pm 0.000 0.162 0.702
Pm3 Pm 0.000 0.365 0.495
Pm4 Pm 0.000 0.367 0.905
Sm1 Sm 0.000 0.201 0.198
Ho1 Ho 0.000 0.000 0.417
Ho2 Ho 0.000 0.500 0.201
```


two | Pm7Sm2Ho2: optimized geometry, PBE.

Geometry as CIF:
```
data_Pm7Sm2Ho2
_chemical_formula_sum 'Pm14 Sm4 Ho4'
_space_group_name_H-M_alt 'C 1 2/m 1'
_space_group_IT_number 12
_cell_length_a 11.534
_cell_length_b 11.515
_cell_length_c 6.107
_cell_angle_alpha 90.00
_cell_angle_beta 112.38
_cell_angle_gamma 90.00
loop_
_space_group_symop_operation_xyz
'x,y,z'
'-x,-y,-z'
'-x,y,-z'
'x,-y,z'
'x+1/2,y+1/2,z'
'-x+1/2,-y+1/2,-z'
'-x+1/2,y+1/2,-z'
'x+1/2,-y+1/2,z'
loop_
_atom_site_label
_atom_site_type_symbol
_atom_site_fract_x
_atom_site_fract_y
_atom_site_fract_z
Pm1 Pm 0.000 0.000 0.000
Pm2 Pm 0.180 0.231 0.177
Pm3 Pm 0.229 0.000 0.595
Sm1 Sm 0.079 0.500 0.800
Ho1 Ho 0.000 0.218 0.500
```


Q: Which of them is the least stable? A: two.


one | PmSmHoTh: optimized geometry, PBE.

Geometry as CIF:
```
data_PmSmHoTh
_chemical_formula_sum 'Pm1 Sm1 Ho1 Th1'
_space_group_name_H-M_alt 'P 4 m m'
_space_group_IT_number 99
_cell_length_a 3.595
_cell_length_b 3.595
_cell_length_c 10.194
_cell_angle_alpha 90.00
_cell_angle_beta 90.00
_cell_angle_gamma 90.00
loop_
_space_group_symop_operation_xyz
'x,y,z'
'-y,x,z'
'-x,-y,z'
'y,-x,z'
'-x,y,z'
'y,x,z'
'x,-y,z'
'-y,-x,z'
loop_
_atom_site_label
_atom_site_type_symbol
_atom_site_fract_x
_atom_site_fract_y
_atom_site_fract_z
Pm1 Pm 0.000 0.000 0.000
Sm1 Sm 0.500 0.500 0.736
Ho1 Ho 0.500 0.500 0.255
Th1 Th 0.000 0.000 0.493
```


two | PmSmHoTh: optimized geometry, PBE.

Geometry as CIF:
```
data_PmSmHoTh
_chemical_formula_sum 'Pm4 Sm4 Ho4 Th4'
_space_group_name_H-M_alt 'F -4 3 m'
_space_group_IT_number 216
_space_group_name_Hall 'F -4 2 3'
_cell_length_a 8.081
_cell_length_b 8.081
_cell_length_c 8.081
_cell_angle_alpha 90.00
_cell_angle_beta 90.00
_cell_angle_gamma 90.00
loop_
_atom_site_label
_atom_site_type_symbol
_atom_site_fract_x
_atom_site_fract_y
_atom_site_fract_z
Pm1 Pm 0.000 0.000 0.000
Sm1 Sm 0.250 0.250 0.750
Ho1 Ho 0.000 0.000 0.500
Th1 Th 0.250 0.250 0.250
```


Q: Which of them is the least stable? A: two.


one | PmHo2Sn: optimized geometry, PBE.

Geometry as CIF:
```
data_PmHo2Sn
_chemical_formula_sum 'Pm2 Ho4 Sn2'
_space_group_name_H-M_alt 'P 1 21/m 1'
_space_group_IT_number 11
_cell_length_a 4.637
_cell_length_b 4.703
_cell_length_c 11.473
_cell_angle_alpha 90.00
_cell_angle_beta 101.61
_cell_angle_gamma 90.00
loop_
_space_group_symop_operation_xyz
'x,y,z'
'-x,-y,-z'
'-x,y+1/2,-z'
'x,-y+1/2,z'
loop_
_atom_site_label
_atom_site_type_symbol
_atom_site_fract_x
_atom_site_fract_y
_atom_site_fract_z
Pm1 Pm 0.192 0.250 0.386
Ho1 Ho 0.058 0.750 0.117
Ho2 Ho 0.437 0.750 0.873
Sn1 Sn 0.338 0.250 0.673
```


two | PmHo2Sn: optimized geometry, PBE.

Geometry as CIF:
```
data_PmHo2Sn
_chemical_formula_sum 'Pm4 Ho8 Sn4'
_space_group_name_H-M_alt 'C m c m'
_space_group_IT_number 63
_space_group_name_Hall '-C 2c 2'
_cell_length_a 5.441
_cell_length_b 12.775
_cell_length_c 6.906
_cell_angle_alpha 90.00
_cell_angle_beta 90.00
_cell_angle_gamma 90.00
loop_
_atom_site_label
_atom_site_type_symbol
_atom_site_fract_x
_atom_site_fract_y
_atom_site_fract_z
Pm1 Pm 0.000 0.069 0.250
Ho1 Ho 0.000 0.368 0.020
Sn1 Sn 0.000 0.176 0.750
```


three | PmHo2Sn: optimized geometry, PBE.

Geometry as CIF:
```
data_PmHo2Sn
_chemical_formula_sum 'Pm4 Ho8 Sn4'
_space_group_name_H-M_alt 'F -4 3 m'
_space_group_IT_number 216
_space_group_name_Hall 'F -4 2 3'
_cell_length_a 7.687
_cell_length_b 7.687
_cell_length_c 7.687
_cell_angle_alpha 90.00
_cell_angle_beta 90.00
_cell_angle_gamma 90.00
loop_
_atom_site_label
_atom_site_type_symbol
_atom_site_fract_x
_atom_site_fract_y
_atom_site_fract_z
Pm1 Pm 0.000 0.000 0.000
Ho1 Ho 0.000 0.000 0.500
Ho2 Ho 0.250 0.250 0.750
Sn1 Sn 0.250 0.250 0.250
```


Q: Which of them is the least stable? A: three.


one | PmHo2Sn: optimized geometry, PBE.

Geometry as CIF:
```
data_PmHo2Sn
_chemical_formula_sum 'Pm1 Ho2 Sn1'
_space_group_name_H-M_alt 'P 4/m m m'
_space_group_IT_number 123
_space_group_name_Hall '-P 4 2'
_cell_length_a 4.844
_cell_length_b 4.844
_cell_length_c 4.817
_cell_angle_alpha 90.00
_cell_angle_beta 90.00
_cell_angle_gamma 90.00
loop_
_atom_site_label
_atom_site_type_symbol
_atom_site_fract_x
_atom_site_fract_y
_atom_site_fract_z
Pm1 Pm 0.000 0.000 0.000
Ho1 Ho 0.000 0.500 0.500
Sn1 Sn 0.500 0.500 0.000
```


two | PmHo2Sn: optimized geometry, PBE.

Geometry as CIF:
```
data_PmHo2Sn
_chemical_formula_sum 'Pm3 Ho6 Sn3'
_space_group_name_H-M_alt 'R -3 m'
_space_group_IT_number 166
_space_group_name_Hall '-R 3 2"'
_cell_length_a 3.5172
_cell_length_b 3.5172
_cell_length_c 35.8830
_cell_angle_alpha 90.00
_cell_angle_beta 90.00
_cell_angle_gamma 120.00
loop_
_atom_site_label
_atom_site_type_symbol
_atom_site_fract_x
_atom_site_fract_y
_atom_site_fract_z
Pm1 Pm 0.0000 0.0000 0.0000
Ho1 Ho 0.0000 0.0000 0.4136
Sn1 Sn 0.0000 0.0000 0.5000
```


Q: Which of them is the least stable? A: two.